BaGaSb | the Alexandria database | PBE | relaxed; polymorph energy (0 for the lowest one) = 0.0000 eV per atom; total moment = 0.00 Bohr magnetons per cell; formation energy (no corrections) = -0.69 eV per atom; mass density = 5.49 Mg/m³
1.0
5.3041 0.0000 0.0000
0.0000 4.6520 0.0000
0.0000 -2.3260 4.0287
Ga Sb Ba
1 1 1
direct
0.0560 0.0000 0.0000
0.2530 0.3333 0.6667
0.6911 0.6667 0.3333